Sr4Sn5Ge2 | PBE-GGA | relaxed

Cell lengths 4.8355, 7.7366, 9.1061 Å; angles 87.41, 90.00, 90.00 degrees
Last column: nearest neighbours and their distance in Å.
Fractional positions:
Sn  0.0000  0.1320  0.8707  1 Ge 2.83, 2 Sn 3.05-3.13
Sn  0.0000  0.4378  0.3425  1 Ge 2.77, 1 Sn 3.07
Sn  0.0000  0.5000  0.0000  4 Sn 3.13, 4 Sr 3.46
Sr  0.5000  0.7828  0.8629  2 Ge 3.38, 8 Sn 3.46-3.63
Sr  0.5000  0.2436  0.6024  4 Ge 3.46-3.48, 6 Sn 3.50-3.66
Sr  0.5000  0.2172  0.1371  2 Ge 3.38, 8 Sn 3.46-3.63
Sn  0.0000  0.5622  0.6575  1 Ge 2.77, 1 Sn 3.07
Sr  0.5000  0.7564  0.3976  4 Ge 3.46-3.48, 6 Sn 3.50-3.66
Ge  0.0000  0.0794  0.3747  1 Ge 2.54, 2 Sn 2.77-2.83
Sn  0.0000  0.8680  0.1293  1 Ge 2.83, 2 Sn 3.05-3.13
Ge  0.0000  0.9206  0.6253  1 Ge 2.54, 2 Sn 2.77-2.83

**Density**: 5.3 g cm⁻³
**Magnetic moment**: 0.00 μB per cell
**DFT total energy**: -3.78 eV/atom

=====

Sr5SnGe2 | PBE-GGA | relaxed

Cell lengths 8.2985, 8.2985, 9.9909 Å; angles 114.54, 114.54, 90.00 degrees
Last column: nearest neighbours and their distance in Å.
Fractional positions:
Sr  0.3139  0.8139  0.2735  3 Ge 3.30-3.32, 2 Sn 3.56
Sr  0.9597  0.4597  0.2735  3 Ge 3.30-3.32, 2 Sn 3.56
Ge  0.3863  0.8863  0.0000  1 Ge 2.67
Ge  0.1137  0.3863  0.0000  1 Ge 2.67
Sr  0.8139  0.9597  0.2735  3 Ge 3.30-3.32, 2 Sn 3.56
Sn  0.2500  0.2500  0.5000  8 Sr 3.56
Sr  0.1861  0.0403  0.7265  3 Ge 3.30-3.32, 2 Sn 3.56
Ge  0.6137  0.1137  0.0000  1 Ge 2.67
Sr  0.6861  0.1861  0.7265  3 Ge 3.30-3.32, 2 Sn 3.56
Sr  0.0403  0.5403  0.7265  3 Ge 3.30-3.32, 2 Sn 3.56
Sr  0.5000  0.5000  0.0000  4 Ge 3.34
Sn  0.7500  0.7500  0.5000  8 Sr 3.56
Sr  0.5403  0.6861  0.7265  3 Ge 3.30-3.32, 2 Sn 3.56
Ge  0.8863  0.6137  0.0000  1 Ge 2.67
Sr  0.4597  0.3139  0.2735  3 Ge 3.30-3.32, 2 Sn 3.56
Sr  0.0000  0.0000  0.0000  4 Ge 3.34

**Density**: 4.2 g cm⁻³
**Magnetic moment**: 0.00 μB per cell
**DFT total energy**: -3.32 eV/atom

=====

SrSn2Ge | PBE-GGA | relaxed

Cell lengths 4.0242, 4.0242, 8.9416 Å; angles 77.00, 77.00, 60.00 degrees
Last column: nearest neighbours and their distance in Å.
Fractional positions:
Sn  0.7322  0.7322  0.8033  3 Ge 2.88
Sr  0.5000  0.5000  0.5000  6 Sn 3.50
Sn  0.2678  0.2678  0.1967  3 Ge 2.88
Ge  0.0000  0.0000  0.0000  6 Sn 2.88

**Density**: 5.5 g cm⁻³
**Magnetic moment**: 0.00 μB per cell
**DFT total energy**: -3.66 eV/atom

=====

SrSn2Ge | PBE-GGA | relaxed

Cell lengths 4.1437, 5.4224, 6.1533 Å; angles 111.02, 109.68, 90.00 degrees
Last column: nearest neighbours and their distance in Å.
Fractional positions:
Ge  0.8226  0.2902  0.6452  4 Sn 2.75-2.97
Sn  0.9131  0.8457  0.8262  2 Ge 2.79-2.97
Sr  0.5628  0.4040  0.1256  3 Ge 3.30-3.33, 4 Sn 3.50-3.53
Sn  0.2015  0.9601  0.4030  2 Ge 2.75

**Density**: 5.5 g cm⁻³
**Magnetic moment**: 0.00 μB per cell
**DFT total energy**: -3.87 eV/atom

=====

Sr2SnGe2 | PBE-GGA | relaxed

Cell lengths 3.8556, 3.8556, 10.2835 Å; angles 79.19, 79.19, 90.00 degrees
Last column: nearest neighbours and their distance in Å.
Fractional positions:
Ge  0.2500  0.7500  0.5000  4 Ge 2.73
Sr  0.6118  0.6118  0.7763  4 Ge 3.35, 4 Sn 3.51
Sn  0.0000  0.0000  0.0000  8 Sr 3.51, 4 Sn 3.86
Sr  0.3882  0.3882  0.2237  4 Ge 3.35, 4 Sn 3.51
Ge  0.7500  0.2500  0.5000  4 Ge 2.73

**Density**: 4.9 g cm⁻³
**Magnetic moment**: 0.00 μB per cell
**DFT total energy**: -3.69 eV/atom

=====

Sr4Sn2Ge5 | PBE-GGA | relaxed

Cell lengths 4.8025, 7.5454, 8.6725 Å; angles 92.28, 90.00, 90.00 degrees
Last column: nearest neighbours and their distance in Å.
Fractional positions:
Sn  0.0000  0.9088  0.6390  2 Ge 2.70-2.72, 1 Sn 2.82
Ge  0.0000  0.4487  0.3473  1 Sn 2.70, 1 Ge 2.73
Sr  0.5000  0.2625  0.6370  4 Ge 3.24-3.50, 4 Sn 3.59
Ge  0.0000  0.5513  0.6527  1 Sn 2.70, 1 Ge 2.73
Sr  0.5000  0.7549  0.8730  6 Ge 3.22-3.40, 2 Sn 3.38
Ge  0.0000  0.8774  0.1015  1 Ge 2.60, 1 Sn 2.72
Sr  0.5000  0.7375  0.3630  4 Ge 3.24-3.50, 4 Sn 3.59
Ge  0.0000  0.5000  0.0000  4 Ge 2.95-3.05, 4 Sr 3.29
Ge  0.0000  0.1226  0.8985  1 Ge 2.60, 1 Sn 2.72
Sr  0.5000  0.2451  0.1270  6 Ge 3.22-3.40, 2 Sn 3.38
Sn  0.0000  0.0912  0.3610  2 Ge 2.70-2.72, 1 Sn 2.82

**Density**: 5.0 g cm⁻³
**Magnetic moment**: 0.00 μB per cell
**DFT total energy**: -3.88 eV/atom

=====

Sr2Sn3Ge2 | PBE-GGA | relaxed

Cell lengths 4.4607, 4.0848, 11.1410 Å; angles 100.56, 90.00, 90.00 degrees
Last column: nearest neighbours and their distance in Å.
Fractional positions:
Sn  0.0000  0.0000  0.0000  8 Sn 3.38, 2 Sr 3.56
Sn  0.5000  0.5693  0.1386  5 Sn 3.04-3.38, 1 Ge 3.20
Ge  0.5000  0.2848  0.5697  2 Ge 2.55
Ge  0.5000  0.7152  0.4303  2 Ge 2.55
Sr  0.0000  0.1625  0.3251  6 Ge 3.24-3.49, 1 Sn 3.56
Sn  0.5000  0.4307  0.8614  5 Sn 3.04-3.38, 1 Ge 3.20
Sr  0.0000  0.8375  0.6749  6 Ge 3.24-3.49, 1 Sn 3.56

**Density**: 5.6 g cm⁻³
**Magnetic moment**: 0.00 μB per cell
**DFT total energy**: -3.88 eV/atom

=====

Sr8SnGe2 | PBE-GGA | relaxed

Cell lengths 5.5032, 7.8623, 10.5147 Å; angles 101.71, 105.17, 90.00 degrees
Last column: nearest neighbours and their distance in Å.
Fractional positions:
Sn  0.5000  0.0000  0.0000  8 Sr 3.41-3.58
Sr  0.3316  0.0362  0.6632  3 Ge 3.24-3.45, 1 Sn 3.49
Ge  0.8020  0.2741  0.6040  7 Sr 3.18-3.45
Sr  0.7898  0.6708  0.5796  3 Ge 3.18-3.40
Sr  0.6684  0.9638  0.3368  3 Ge 3.24-3.45, 1 Sn 3.49
Ge  0.1980  0.7259  0.3960  7 Sr 3.18-3.45
Sr  0.9592  0.2135  0.9185  1 Ge 3.32, 2 Sn 3.41
Sr  0.0408  0.7865  0.0815  1 Ge 3.32, 2 Sn 3.41
Sr  0.2102  0.3292  0.4204  3 Ge 3.18-3.40
Sr  0.5919  0.4414  0.1838  1 Sn 3.58, 4 Sr 3.87-4.00, 2 Ge 3.90
Sr  0.4081  0.5586  0.8162  1 Sn 3.58, 4 Sr 3.87-4.00, 2 Ge 3.90

**Density**: 3.7 g cm⁻³
**Magnetic moment**: 0.00 μB per cell
**DFT total energy**: -2.79 eV/atom

=====

Sr3SnGe4 | PBE-GGA | relaxed

Cell lengths 4.7529, 6.1436, 9.2333 Å; angles 109.43, 104.91, 90.00 degrees
Last column: nearest neighbours and their distance in Å.
Fractional positions:
Ge  0.3745  0.5697  0.7491  1 Ge 2.40
Ge  0.3745  0.1794  0.7491  1 Ge 2.40
Sr  0.0000  0.5000  0.0000  8 Ge 3.39
Ge  0.6255  0.8206  0.2509  1 Ge 2.40
Sr  0.8107  0.8107  0.6214  6 Ge 3.21-3.33
Sr  0.1893  0.1893  0.3786  6 Ge 3.21-3.33
Ge  0.6255  0.4303  0.2509  1 Ge 2.40
Sn  0.5000  0.0000  0.0000  4 Ge 2.82

**Density**: 4.6 g cm⁻³
**Magnetic moment**: 0.00 μB per cell
**DFT total energy**: -3.83 eV/atom

=====

Sr2SnGeTe4 | PBE-GGA | relaxed

Cell lengths 4.5746, 8.0066, 7.9419 Å; angles 70.76, 90.00, 90.00 degrees
Last column: nearest neighbours and their distance in Å.
Fractional positions:
Sr  0.5000  0.0000  0.5000  6 Te 3.38
Sr  0.0000  0.0000  0.0000  6 Te 3.30
Te  0.0000  0.7272  0.7659  2 Ge 3.13, 1 Sn 3.21, 3 Sr 3.30-3.38
Te  0.0000  0.2728  0.2341  2 Ge 3.13, 1 Sn 3.21, 3 Sr 3.30-3.38
Ge  0.5000  0.5000  0.0000  6 Te 3.12-3.13
Te  0.5000  0.2665  0.7531  1 Ge 3.12, 2 Sn 3.21, 3 Sr 3.30-3.38
Te  0.5000  0.7335  0.2469  1 Ge 3.12, 2 Sn 3.21, 3 Sr 3.30-3.38
Sn  0.0000  0.5000  0.5000  6 Te 3.21

**Density**: 5.3 g cm⁻³
**Magnetic moment**: 0.00 μB per cell
**Uncorrected formation energy**: -0.891 eV per atom

=====

SrYSn2Ge | PBE-GGA | relaxed

Cell lengths 5.8238, 5.7642, 5.8238 Å; angles 90.00, 90.00, 90.00 degrees
Last column: nearest neighbours and their distance in Å.
Fractional positions:
Sn  0.5000  0.0000  0.0000  2 Sr 2.91
Sn  0.0000  0.0000  0.5000  2 Sr 2.91
Y  0.0000  0.5000  0.0000  2 Sr 2.88
Sr  0.0000  0.0000  0.0000  2 Y 2.88, 4 Sn 2.91
Ge  0.5000  0.5000  0.5000  8 Sn 4.10, 4 Y 4.12

**Density**: 4.1 g cm⁻³
**Magnetic moment**: 0.16 μB per cell
**DFT total energy**: -3.01 eV/atom

=====

Sr2Zn4Sn3Ge | PBE-GGA | relaxed

Cell lengths 4.6050, 4.6050, 11.3517 Å; angles 90.00, 90.00, 90.00 degrees
Last column: nearest neighbours and their distance in Å.
Fractional positions:
Ge  0.5000  0.5000  0.5000  4 Zn 2.74
Zn  0.5000  0.5000  0.0000  4 Sn 2.76
Sn  0.5000  0.0000  0.8656  5 Zn 2.66-2.76
Zn  0.5000  0.0000  0.6314  3 Sn 2.66-2.74, 2 Ge 2.74
Sn  0.0000  0.0000  0.5000  4 Zn 2.74
Zn  0.0000  0.5000  0.3686  3 Sn 2.66-2.74, 2 Ge 2.74
Sr  0.5000  0.0000  0.2496  6 Sn 3.51-3.66, 8 Zn 3.53-3.65, 2 Ge 3.66
Zn  0.0000  0.0000  0.0000  4 Sn 2.76
Sn  0.0000  0.5000  0.1344  5 Zn 2.66-2.76
Sr  0.0000  0.5000  0.7504  6 Sn 3.51-3.66, 8 Zn 3.53-3.65, 2 Ge 3.66

**Density**: 6.0 g cm⁻³
**Magnetic moment**: 0.00 μB per cell
**DFT total energy**: -2.85 eV/atom

=====

Sr2Zn4SnGe3 | PBE-GGA | relaxed

Cell lengths 4.4768, 4.4768, 10.9160 Å; angles 90.00, 90.00, 90.00 degrees
Last column: nearest neighbours and their distance in Å.
Fractional positions:
Sr  0.0000  0.5000  0.7614  6 Ge 3.39-3.63, 8 Zn 3.42-3.43, 2 Sn 3.63
Zn  0.0000  0.5000  0.3559  3 Ge 2.49-2.74, 2 Sn 2.74
Zn  0.5000  0.0000  0.6441  3 Ge 2.49-2.74, 2 Sn 2.74
Sn  0.5000  0.5000  0.5000  4 Zn 2.74
Ge  0.0000  0.5000  0.1274  5 Zn 2.49-2.64
Ge  0.5000  0.0000  0.8726  5 Zn 2.49-2.64
Zn  0.0000  0.0000  0.0000  4 Ge 2.64
Sr  0.5000  0.0000  0.2386  6 Ge 3.39-3.63, 8 Zn 3.42-3.43, 2 Sn 3.63
Zn  0.5000  0.5000  0.0000  4 Ge 2.64
Ge  0.0000  0.0000  0.5000  4 Zn 2.74

**Density**: 5.9 g cm⁻³
**Magnetic moment**: 0.00 μB per cell
**DFT total energy**: -3.00 eV/atom